First-principles (PBE) data for PmHo15Tm4 after structural relaxation, as listed in Alexandria via LeMat-Bulk.

## Properties
Magnetization   0.000 μB per formula unit
Space-group type   P4/mmm, No. 123
Fermi-level density of states   26.09 states/eV/cell
Uncorrected energy   -4.54 eV/atom

a = 4.981 Å, b = 4.981 Å, c = 24.905 Å
α = 90.00°, β = 90.00°, γ = 90.00°
Element x y z (fractional)
Pm 0.000 0.000 0.000
Ho 0.000 0.500 0.102
Ho 0.000 0.500 0.301
Ho 0.000 0.500 0.500
Ho 0.000 0.500 0.699
Ho 0.000 0.500 0.898
Ho 0.500 0.000 0.102
Ho 0.500 0.000 0.301
Ho 0.500 0.000 0.500
Ho 0.500 0.000 0.699
Ho 0.500 0.000 0.898
Ho 0.500 0.500 0.000
Ho 0.500 0.500 0.202
Ho 0.500 0.500 0.400
Ho 0.500 0.500 0.600
Ho 0.500 0.500 0.798
Tm 0.000 0.000 0.201
Tm 0.000 0.000 0.400
Tm 0.000 0.000 0.600
Tm 0.000 0.000 0.799